RuPb2Se (PBE, optimized geometry); total magnetic moment = 1.17 μB/f.u.; E_tot = -4.64 eV per atom; calculated density = 10.78 g/cm³
1.0
5.099 0.000 0.000
0.000 5.099 0.000
0.000 0.000 3.523
Pb Ru Se
2 1 1
Cartesian
0.000 0.000 0.000
2.549 2.549 0.000
2.549 0.000 1.762
0.000 2.549 1.762